Crystalline PuU2WC4 at its relaxed geometry. Source: Alexandria via LeMat-Bulk, functional PBE.

Computed properties:
As for the space-group type: Cmcm, No. 63. For the energy of formation from the pure elements, the calculation gives 88 meV/atom. The calculation puts the raw total energy at -10.757 eV/atom.

Cell: 3.545 6.096 11.751 Å, 90.00 90.00 106.90°
Positions (direct):
Pu1 0.120 0.240 0.750
Pu2 0.880 0.760 0.250
C1 0.548 0.095 0.250
C2 0.000 0.000 0.500
C3 0.452 0.905 0.750
C4 0.258 0.517 0.121
C5 0.258 0.517 0.379
C6 0.000 0.000 0.000
C7 0.742 0.483 0.621
C8 0.742 0.483 0.879
U1 0.372 0.745 0.958
U2 0.628 0.255 0.042
U3 0.628 0.255 0.458
U4 0.372 0.745 0.542
W1 0.141 0.282 0.250
W2 0.859 0.718 0.750



Crystalline PuU3W4C6 at its relaxed geometry. Source: Alexandria via LeMat-Bulk, functional PBE.

Computed properties:
As for the space-group type: Pm, No. 6. For the energy of formation from the pure elements, the calculation gives -110 meV/atom. The calculation puts the raw total energy at -11.206 eV/atom.

Cell: 3.174 5.591 11.455 Å, 76.62 90.00 90.00°
Positions (direct):
C1 0.500 0.995 0.753
C2 0.500 0.002 0.499
C3 0.500 0.000 0.247
C4 0.000 0.506 0.002
C5 0.000 0.514 0.253
C6 0.000 0.491 0.745
Pu1 0.500 0.261 0.897
W1 0.500 0.290 0.348
W2 0.500 0.710 0.650
W3 0.000 0.773 0.844
W4 0.000 0.223 0.156
U1 0.000 0.773 0.396
U2 0.500 0.737 0.104
U3 0.000 0.226 0.606



Crystalline PuVC at its relaxed geometry. Source: Alexandria via LeMat-Bulk, functional PBE.

Computed properties:
As for the energy relative to the lowest polymorph listed for this composition: 230 meV per atom. As for the space-group type: P-6m2, No. 187. For the energy of formation from the pure elements, the calculation gives 178 meV/atom. The calculation puts the raw total energy at -10.714 eV/atom.

Cell: 3.882 3.593 3.593 Å, 120.00 90.00 90.00°
Positions (direct):
C1 0.167 0.667 0.333
V1 0.167 0.000 0.000
Pu1 0.667 0.333 0.667



Crystalline Pu2VC at its relaxed geometry. Source: Alexandria via LeMat-Bulk, functional PBE.

Computed properties:
As for the space-group type: R-3m, No. 166. For the energy of formation from the pure elements, the calculation gives 491 meV/atom. The calculation puts the raw total energy at -11.261 eV/atom.

Cell: 3.264 3.264 8.005 Å, 78.24 78.24 60.00°
Positions (direct):
C1 0.500 0.500 0.500
Pu1 0.103 0.103 0.691
Pu2 0.897 0.897 0.309
V1 0.000 0.000 0.000



Crystalline PuVC at its relaxed geometry. Source: Alexandria via LeMat-Bulk, functional PBE.

Computed properties:
As for the energy relative to the lowest polymorph listed for this composition: 181 meV per atom. As for the space-group type: I4mm, No. 107. For the energy of formation from the pure elements, the calculation gives 128 meV/atom. The calculation puts the raw total energy at -10.763 eV/atom.

Cell: 2.926 2.926 5.285 Å, 106.07 106.07 90.00°
Positions (direct):
Pu1 0.001 0.001 0.001
C1 0.730 0.730 0.461
V1 0.269 0.269 0.538



Crystalline PuV2C3 at its relaxed geometry. Source: Alexandria via LeMat-Bulk, functional PBE.

Computed properties:
As for the space-group type: Cmcm, No. 63. For the energy of formation from the pure elements, the calculation gives 43 meV/atom. The calculation puts the raw total energy at -9.997 eV/atom.

Cell: 5.559 4.876 4.876 Å, 72.79 90.00 90.00°
Positions (direct):
Pu1 0.250 0.666 0.334
Pu2 0.750 0.334 0.666
V1 0.000 0.810 0.810
V2 0.500 0.190 0.190
V3 0.500 0.810 0.810
V4 0.000 0.190 0.190
C1 0.750 0.841 0.159
C2 0.750 0.880 0.460
C3 0.750 0.540 0.120
C4 0.250 0.120 0.540
C5 0.250 0.460 0.880
C6 0.250 0.159 0.841



Crystalline PuVC at its relaxed geometry. Source: Alexandria via LeMat-Bulk, functional PBE.

Computed properties:
As for the energy relative to the lowest polymorph listed for this composition: 0 meV per atom. As for the space-group type: C2/m, No. 12. For the energy of formation from the pure elements, the calculation gives -52 meV/atom. The calculation puts the raw total energy at -10.944 eV/atom.

Cell: 2.930 5.413 6.162 Å, 122.44 103.75 90.00°
Positions (direct):
C1 0.252 0.240 0.504
C2 0.748 0.760 0.496
V1 0.858 0.215 0.717
V2 0.142 0.785 0.283
Pu1 0.404 0.767 0.809
Pu2 0.596 0.233 0.191



Crystalline PuVC2 at its relaxed geometry. Source: Alexandria via LeMat-Bulk, functional PBE.

Computed properties:
As for the space-group type: R-3m, No. 166. For the energy of formation from the pure elements, the calculation gives -100 meV/atom. The calculation puts the raw total energy at -10.574 eV/atom.

Cell: 3.139 3.139 5.773 Å, 74.23 74.23 60.00°
Positions (direct):
C1 0.264 0.264 0.209
C2 0.736 0.736 0.791
Pu1 0.500 0.500 0.500
V1 0.000 0.000 0.000



| no. | N(E_F) (states/eV per atom) | size of the total moment (μB per formula unit) |
| --- | --- | --- |
| 1 | 1.554 | 3.7 |
| 2 | 1.331 | 3.5 |
| 3 | 2.285 | 4.4 |
| 4 | 3.037 | 7.8 |
| 5 | 1.208 | 4.7 |
| 6 | 1.226 | 4.9 |
| 7 | 1.355 | 0.0 |
| 8 | 1.813 | 3.9 |